Compound: NbPb2W
Source: Alexandria via LeMat-Bulk
Functional: PBE
Structure: relaxed

Structure (CIF):
```
data_NbPb2W
_cell_length_a 4.877
_cell_length_b 4.877
_cell_length_c 4.877
_cell_angle_alpha 60.00
_cell_angle_beta 60.00
_cell_angle_gamma 60.00
_space_group_name_H-M_alt 'P 1'
_space_group_IT_number 1
loop_
_space_group_symop_operation_xyz
'x,y,z'
loop_
_atom_site_label
_atom_site_type_symbol
_atom_site_fract_x
_atom_site_fract_y
_atom_site_fract_z
_atom_site_occupancy
Nb1 Nb 0.000 0.000 0.000 1
Pb1 Pb 0.250 0.250 0.250 1
Pb2 Pb 0.750 0.750 0.750 1
W1 W 0.500 0.500 0.500 1
```

Final energy in eV/atom: -6.732
Symmetry: Fm-3m
Size of the total moment in μB per formula unit: 0.0